Below is a geometry-optimized Rb3Mo2Br9 structure, with properties calculated at the PBEsol level.

The value obtained for the formation energy from raw total energies is -103 kJ per mole of atoms. Its total energy is -4.173 eV per atom.

It has space group P6_3/mmc (No. 194), with a = 7.4178 Å, b = 7.4178 Å, c = 18.2040 Å, α = 90.00°, β = 90.00° and γ = 120.00°. Symmetry generates all atoms from Rb at (0.0000, 0.0000, 0.2500), Rb at (0.3333, 0.6667, 0.0638), Mo at (0.3333, 0.6667, 0.6730), Br at (0.0045, 0.5023, 0.2500) and Br at (0.1720, 0.3440, 0.5922).

=====

Below is a geometry-optimized RbSn3 structure, with properties calculated at the PBEsol level.

Its total energy is -3.597 eV per atom. The formation enthalpy at 0 K is -56 kJ/mol of formula units.

It has space group P6_3/mmc (No. 194), with a = 7.5105 Å, b = 7.5105 Å, c = 5.4643 Å, α = 90.00°, β = 90.00° and γ = 120.00°. Symmetry generates all atoms from Rb at (0.3333, 0.6667, 0.2500) and Sn at (0.1336, 0.2673, 0.7500).

=====

Below is a geometry-optimized BaBeSe structure, with properties calculated at the PBEsol level.

The value obtained for the formation energy from raw total energies is -58 kJ per mole of atoms. Its total energy is -3.930 eV per atom.

It has space group P3m1 (No. 156), with a = 3.8928 Å, b = 3.8928 Å, c = 5.1052 Å, α = 90.00°, β = 90.00° and γ = 120.00°. Symmetry generates all atoms from Ba at (0.0000, 0.0000, 0.0000), Be at (0.3333, 0.6667, 0.5076) and Se at (0.6667, 0.3333, 0.4983).

=====

Below is a geometry-optimized CoTc2AgN structure, with properties calculated at the PBEsol level.

The value obtained for the formation energy from raw total energies is 262 kJ per mole of atoms. Its total energy is -5.708 eV per atom.

It has space group P4/mmm (No. 123), with a = 4.9225 Å, b = 4.9225 Å, c = 3.5942 Å, α = 90.00°, β = 90.00° and γ = 90.00°. Symmetry generates all atoms from Co at (0.0000, 0.0000, 0.0000), Tc at (0.0000, 0.5000, 0.5000), Ag at (0.5000, 0.5000, 0.5000) and N at (0.5000, 0.5000, 0.0000).

=====

Below is a geometry-optimized SiAsRh structure, with properties calculated at the PBEsol level.

The value obtained for the formation energy from raw total energies is -1 kJ per mole of atoms. Its total energy is -6.343 eV per atom. The polymorph energy (0 for the lowest one) comes out at 251 meV per atom.

It has space group F-43m (No. 216), with a = 5.7869 Å, b = 5.7869 Å, c = 5.7869 Å, α = 90.00°, β = 90.00° and γ = 90.00°. Symmetry generates all atoms from Si at (0.0000, 0.0000, 0.0000), As at (0.2500, 0.2500, 0.7500) and Rh at (0.2500, 0.2500, 0.2500).

=====

Below is a geometry-optimized NaHf4N4Cl4 structure, with properties calculated at the PBEsol level.

The value obtained for the formation energy from raw total energies is -180 kJ per mole of atoms. Its total energy is -8.445 eV per atom.

It has space group P2/m (No. 10), with a = 6.2111 Å, b = 3.6082 Å, c = 10.2018 Å, α = 90.00°, β = 102.05° and γ = 90.00°. Symmetry generates all atoms from Na at (0.0000, 0.0000, 0.0000), Hf at (0.2098, 0.0000, 0.6192), Hf at (0.2934, 0.5000, 0.3774), N at (0.1334, 0.0000, 0.4085), N at (0.3611, 0.5000, 0.5889), Cl at (0.1065, 0.5000, 0.8190) and Cl at (0.3943, 0.0000, 0.1884).